{"formula": "HfScNi2F", "functional": "PBE+U", "state": "optimized geometry", "e_tot_ev_per_atom": -4.4811, "cell": [[4.550, 0.000, 0.000], [0.000, 4.550, 0.000], [0.000, 0.000, 3.823]], "species": ["Hf", "Sc", "Ni", "Ni", "F"], "fractional_positions": [[0.000, 0.000, 0.000], [0.500, 0.500, 0.000], [0.000, 0.500, 0.500], [0.500, 0.000, 0.500], [0.500, 0.500, 0.500]]}